TcNiOF2 | PBE+U | optimized geometry

Output
Excess energy over the best structure of this formula in the dataset, kJ per mole of atoms: 0.0

Cell and atoms, written as POSCAR:
```
TcNiOF2
1.0
-1.368 -1.785 -3.557
-1.909 -3.006 2.243
-3.121 2.094 0.149
O Tc Ni F
1 1 1 2
direct
0.000 0.000 0.500
0.000 0.000 0.000
0.500 0.500 0.500
0.500 0.000 0.000
0.000 0.500 0.000
```